Material: YP2Rh2
Method: DFT, PBE-GGA
State: optimized geometry

a = 6.2323 Å, b = 6.2323 Å, c = 6.1605 Å
α = 113.99°, β = 113.99°, γ = 100.84°
Closest atoms and distances in Å follow each position.
Positions (direct):
1 Y 0.8748 0.6252 0.7500  6 P 2.86-3.14
2 Y 0.1252 0.3748 0.2500  6 P 2.86-3.14
3 P 0.1728 0.3272 0.7500  4 Rh 2.27-2.37
4 P 0.4240 0.0760 0.2500  4 Rh 2.27-2.37
5 P 0.5760 0.9240 0.7500  4 Rh 2.27-2.37
6 P 0.8272 0.6728 0.2500  4 Rh 2.27-2.37
7 Rh 0.2291 0.9803 0.4611  4 P 2.27-2.37
8 Rh 0.4803 0.7291 0.9611  4 P 2.27-2.37
9 Rh 0.7709 0.0197 0.5389  4 P 2.27-2.37
10 Rh 0.5197 0.2709 0.0389  4 P 2.27-2.37

DOS at the Fermi energy, states/eV/atom: 0.642
SG: No. 15
DFT formation energy, eV/atom: -0.91

***

Material: CaScNi10
Method: DFT, PBE-GGA
State: optimized geometry

a = 3.9591 Å, b = 4.8306 Å, c = 8.3646 Å
α = 90.00°, β = 90.00°, γ = 90.00°
Closest atoms and distances in Å follow each position.
Positions (direct):
1 Ca 0.0000 0.0000 0.0000  18 Ni 2.84-3.16
2 Sc 0.0000 0.5000 0.5000  6 Ni 2.69-2.76
3 Ni 0.0000 0.0000 0.3414  7 Ni 2.38-2.65
4 Ni 0.0000 0.5000 0.8221  6 Ni 2.40-2.48
5 Ni 0.0000 0.5000 0.1779  6 Ni 2.40-2.48
6 Ni 0.0000 0.0000 0.6586  7 Ni 2.38-2.65
7 Ni 0.5000 0.0000 0.5000  8 Ni 2.38
8 Ni 0.5000 0.5000 0.0000  8 Ni 2.45-2.48
9 Ni 0.5000 0.2534 0.2564  8 Ni 2.38-2.45
10 Ni 0.5000 0.7466 0.7436  8 Ni 2.38-2.45
11 Ni 0.5000 0.7466 0.2564  8 Ni 2.38-2.45
12 Ni 0.5000 0.2534 0.7436  8 Ni 2.38-2.45

DOS at the Fermi energy, states/eV/atom: 1.241
SG: No. 47
DFT formation energy, eV/atom: -0.19

***

Material: RbCa3Cd
Method: DFT, PBE-GGA
State: optimized geometry

a = 6.1857 Å, b = 6.1857 Å, c = 6.1857 Å
α = 90.00°, β = 90.00°, γ = 90.00°
Closest atoms and distances in Å follow each position.
Positions (direct):
1 Ca 0.0000 0.5000 0.0000  2 Cd 3.09
2 Ca 0.0000 0.0000 0.5000  2 Cd 3.09
3 Ca 0.5000 0.0000 0.0000  2 Cd 3.09
4 Rb 0.5000 0.5000 0.5000  12 Ca 4.37
5 Cd 0.0000 0.0000 0.0000  6 Ca 3.09

DOS at the Fermi energy, states/eV/atom: 0.801
SG: No. 221
DFT formation energy, eV/atom: 0.04

***

Material: La2AsRu
Method: DFT, PBE-GGA
State: optimized geometry

a = 6.1999 Å, b = 6.1999 Å, c = 8.1449 Å
α = 67.63°, β = 67.63°, γ = 90.00°
Closest atoms and distances in Å follow each position.
Positions (direct):
1 Ru 0.0000 0.0000 0.0000  4 La 2.62
2 Ru 0.7500 0.2500 0.5000  4 La 2.62
3 As 0.5000 0.5000 0.0000  4 La 2.97
4 As 0.2500 0.7500 0.5000  4 La 2.97
5 La 0.6767 0.1250 0.2500  2 Ru 2.62
6 La 0.0733 0.6250 0.2500  2 Ru 2.62
7 La 0.3750 0.3233 0.7500  2 Ru 2.62
8 La 0.8750 0.9267 0.7500  2 Ru 2.62

DOS at the Fermi energy, states/eV/atom: 0.305
SG: No. 122
DFT formation energy, eV/atom: -0.19

***

Material: AlCr2SiPt
Method: DFT, PBE-GGA
State: optimized geometry

a = 4.3573 Å, b = 4.4920 Å, c = 4.3573 Å
α = 90.00°, β = 90.00°, γ = 90.00°
Closest atoms and distances in Å follow each position.
Positions (direct):
1 Cr 0.0000 0.0000 0.5000  2 Si 2.18
2 Cr 0.5000 0.0000 0.0000  2 Si 2.18
3 Si 0.0000 0.0000 0.0000  4 Cr 2.18, 2 Al 2.25
4 Al 0.0000 0.5000 0.0000  2 Si 2.25
5 Pt 0.5000 0.5000 0.5000  4 Al 3.08, 8 Cr 3.13

DOS at the Fermi energy, states/eV/atom: 1.374
Formation energy (no corrections), meV/atom: 710
SG: No. 123

***

Material: Cr2OsAu
Method: DFT, PBE-GGA
State: optimized geometry

a = 2.9660 Å, b = 2.9660 Å, c = 6.3869 Å
α = 90.00°, β = 90.00°, γ = 90.00°
Closest atoms and distances in Å follow each position.
Positions (direct):
1 Au 0.5000 0.5000 0.7694  5 Cr 2.75-2.92, 4 Os 2.90, 4 Au 2.97
2 Cr 0.0000 0.0000 0.0474  4 Cr 2.39, 1 Os 2.61
3 Cr 0.5000 0.5000 0.2267  4 Cr 2.39, 4 Os 2.56
4 Os 0.0000 0.0000 0.4564  5 Cr 2.56-2.61

DOS at the Fermi energy, states/eV/atom: 1.038
SG: No. 99
DFT formation energy, eV/atom: 0.34

***

Material: Ca2MgBe3Au12
Method: DFT, PBE-GGA
State: optimized geometry

a = 7.8375 Å, b = 7.8375 Å, c = 7.8375 Å
α = 64.22°, β = 64.22°, γ = 64.22°
Closest atoms and distances in Å follow each position.
Positions (direct):
1 Ca 0.6007 0.6007 0.6007  6 Au 3.03-3.05
2 Ca 0.3993 0.3993 0.3993  6 Au 3.03-3.05
3 Mg 0.0000 0.0000 0.0000  6 Au 2.62
4 Be 0.5000 0.0000 0.0000  6 Au 2.33
5 Be 0.0000 0.5000 0.0000  6 Au 2.33
6 Be 0.0000 0.0000 0.5000  6 Au 2.33
7 Au 0.3398 0.3398 0.9011  2 Be 2.33
8 Au 0.8676 0.8676 0.3885  1 Be 2.33
9 Au 0.3885 0.8676 0.8676  1 Be 2.33
10 Au 0.9011 0.3398 0.3398  2 Be 2.33
11 Au 0.8676 0.3885 0.8676  1 Be 2.33
12 Au 0.3398 0.9011 0.3398  2 Be 2.33
13 Au 0.6602 0.6602 0.0989  2 Be 2.33
14 Au 0.1324 0.1324 0.6115  1 Be 2.33
15 Au 0.6115 0.1324 0.1324  1 Be 2.33
16 Au 0.0989 0.6602 0.6602  2 Be 2.33
17 Au 0.1324 0.6115 0.1324  1 Be 2.33
18 Au 0.6602 0.0989 0.6602  2 Be 2.33

DOS at the Fermi energy, states/eV/atom: 0.256
SG: No. 166
DFT formation energy, eV/atom: -0.20

***

Material: BiIF2
Method: DFT, PBE-GGA
State: optimized geometry

a = 4.7114 Å, b = 4.7114 Å, c = 4.7114 Å
α = 60.00°, β = 60.00°, γ = 60.00°
Closest atoms and distances in Å follow each position.
Positions (direct):
1 I 0.0000 0.0000 0.0000  8 F 2.89
2 Bi 0.5000 0.5000 0.5000  8 F 2.89
3 F 0.2500 0.2500 0.2500  4 Bi 2.89, 4 I 2.89
4 F 0.7500 0.7500 0.7500  4 Bi 2.89, 4 I 2.89

DOS at the Fermi energy, states/eV/atom: 0.000
Formation energy (no corrections), meV/atom: -1089
SG: No. 225

***

Material: MgP
Method: DFT, PBE-GGA
State: optimized geometry

a = 3.5036 Å, b = 5.2782 Å, c = 7.7591 Å
α = 90.00°, β = 90.00°, γ = 90.00°
Closest atoms and distances in Å follow each position.
Positions (direct):
1 Mg 0.7500 0.8356 0.1565  6 P 2.69-2.71
2 Mg 0.2500 0.3356 0.3435  6 P 2.69-2.71
3 Mg 0.7500 0.6644 0.6565  6 P 2.69-2.71
4 Mg 0.2500 0.1644 0.8435  6 P 2.69-2.71
5 P 0.7500 0.3364 0.0805  6 Mg 2.69-2.71, 2 P 2.76
6 P 0.2500 0.8364 0.4195  6 Mg 2.69-2.71, 2 P 2.76
7 P 0.7500 0.1636 0.5805  6 Mg 2.69-2.71, 2 P 2.76
8 P 0.2500 0.6636 0.9195  6 Mg 2.69-2.71, 2 P 2.76

DOS at the Fermi energy, states/eV/atom: 0.615
SG: No. 62
DFT formation energy, eV/atom: -0.26

***

Material: MnCoTc2
Method: DFT, PBE-GGA
State: optimized geometry

a = 8.6224 Å, b = 8.6224 Å, c = 8.6224 Å
α = 17.62°, β = 17.62°, γ = 17.62°
Closest atoms and distances in Å follow each position.
Positions (direct):
1 Co 0.4966 0.4966 0.4966  3 Mn 2.49, 3 Tc 2.60, 6 Co 2.64
2 Mn 0.7529 0.7529 0.7529  3 Co 2.49, 3 Tc 2.58, 6 Mn 2.64
3 Tc 0.0046 0.0046 0.0046  3 Mn 2.58, 9 Tc 2.64-2.80
4 Tc 0.2459 0.2459 0.2459  3 Co 2.60, 9 Tc 2.64-2.80

DOS at the Fermi energy, states/eV/atom: 1.248
SG: No. 160
DFT formation energy, eV/atom: 0.18

***

Material: Dy7Tm12Pu
Method: DFT, PBE-GGA
State: optimized geometry

a = 10.1744 Å, b = 10.1744 Å, c = 10.1744 Å
α = 109.47°, β = 109.47°, γ = 109.47°
Closest atoms and distances in Å follow each position.
Positions (direct):
1 Dy 0.5000 0.5000 0.0000  8 Tm 3.32-3.49
2 Dy 0.0000 0.5000 0.5000  8 Tm 3.32-3.49
3 Dy 0.5000 0.0000 0.5000  8 Tm 3.32-3.49
4 Dy 0.5000 0.5000 0.5000  6 Tm 3.18
5 Dy 0.0000 0.0000 0.5000  6 Tm 3.18
6 Dy 0.5000 0.0000 0.0000  6 Tm 3.18
7 Dy 0.0000 0.5000 0.0000  6 Tm 3.18
8 Tm 0.3876 0.6459 0.7417  4 Dy 3.18-3.49, 1 Tm 3.43
9 Tm 0.9043 0.6459 0.2583  4 Dy 3.18-3.49, 1 Tm 3.43
10 Tm 0.6124 0.3541 0.2583  4 Dy 3.18-3.49, 1 Tm 3.43
11 Tm 0.0957 0.3541 0.7417  4 Dy 3.18-3.49, 1 Tm 3.43
12 Tm 0.7417 0.0957 0.3541  4 Dy 3.18-3.49, 1 Tm 3.43
13 Tm 0.7417 0.3876 0.6459  4 Dy 3.18-3.49, 1 Tm 3.43
14 Tm 0.2583 0.9043 0.6459  4 Dy 3.18-3.49, 1 Tm 3.43
15 Tm 0.2583 0.6124 0.3541  4 Dy 3.18-3.49, 1 Tm 3.43
16 Tm 0.6459 0.7417 0.3876  4 Dy 3.18-3.49, 1 Tm 3.43
17 Tm 0.3541 0.2583 0.6124  4 Dy 3.18-3.49, 1 Tm 3.43
18 Tm 0.6459 0.2583 0.9043  4 Dy 3.18-3.49, 1 Tm 3.43
19 Tm 0.3541 0.7417 0.0957  4 Dy 3.18-3.49, 1 Tm 3.43
20 Pu 0.0000 0.0000 0.0000  8 Dy 5.09, 12 Tm 5.15

DOS at the Fermi energy, states/eV/atom: 2.654
SG: No. 204
DFT formation energy, eV/atom: 0.86

***

Material: PuHf2Zr5
Method: DFT, PBE-GGA
State: optimized geometry

a = 6.4394 Å, b = 6.4393 Å, c = 6.1112 Å
α = 105.25°, β = 105.25°, γ = 120.06°
Closest atoms and distances in Å follow each position.
Positions (direct):
1 Pu 0.8206 0.7350 0.0000  10 Zr 3.19-3.25, 2 Hf 3.22
2 Hf 0.2406 0.8189 0.5036  9 Zr 3.17-3.27, 2 Hf 3.22, 1 Pu 3.22
3 Hf 0.7370 0.3152 0.4964  9 Zr 3.17-3.27, 2 Hf 3.22, 1 Pu 3.22
4 Zr 0.2339 0.3216 0.4999  4 Hf 3.17-3.27, 6 Zr 3.19-3.22, 2 Pu 3.20-3.21
5 Zr 0.3177 0.7379 0.0000  4 Hf 3.17-3.20, 6 Zr 3.19-3.25, 2 Pu 3.19-3.25
6 Zr 0.8180 0.2383 0.0000  4 Hf 3.17-3.19, 6 Zr 3.19-3.25, 2 Pu 3.19-3.25
7 Zr 0.7340 0.8216 0.5001  4 Hf 3.17-3.27, 6 Zr 3.19-3.22, 2 Pu 3.20-3.21
8 Zr 0.3212 0.2345 0.0000  2 Hf 3.18, 8 Zr 3.19-3.25, 2 Pu 3.22

DOS at the Fermi energy, states/eV/atom: 1.151
SG: No. 42
DFT formation energy, eV/atom: 0.04

***

Material: KZnW
Method: DFT, PBE-GGA
State: optimized geometry

a = 8.3207 Å, b = 8.3207 Å, c = 8.3207 Å
α = 160.89°, β = 160.89°, γ = 27.16°
Closest atoms and distances in Å follow each position.
Positions (direct):
1 K 0.0000 0.0000 0.0000  4 K 2.76
2 W 0.3124 0.3124 0.0000  4 W 2.76, 4 Zn 2.81
3 Zn 0.6876 0.6876 0.0000  4 Zn 2.76, 4 W 2.81

DOS at the Fermi energy, states/eV/atom: 1.046
SG: No. 107
DFT formation energy, eV/atom: 0.93

***

Material: VHRu2Au
Method: DFT, PBE-GGA
State: optimized geometry

a = 3.9452 Å, b = 3.9452 Å, c = 3.8847 Å
α = 90.00°, β = 90.00°, γ = 90.00°
Closest atoms and distances in Å follow each position.
Positions (direct):
1 Ru 0.0000 0.5000 0.0000  2 H 1.97
2 Ru 0.5000 0.0000 0.0000  2 H 1.97
3 Au 0.5000 0.5000 0.5000  8 Ru 2.77, 4 V 2.79
4 H 0.0000 0.0000 0.0000  2 V 1.94, 4 Ru 1.97
5 V 0.0000 0.0000 0.5000  2 H 1.94

Calculated total energy, eV per cell: -34.12
DOS at the Fermi energy, states/eV/atom: 0.786
SG: No. 123

***

Material: Sr2Ca2Bi2Sb
Method: DFT, PBE-GGA
State: optimized geometry

a = 4.7802 Å, b = 8.0124 Å, c = 8.7760 Å
α = 62.63°, β = 90.00°, γ = 72.64°
Closest atoms and distances in Å follow each position.
Positions (direct):
1 Sr 0.5259 0.9483 0.7595  2 Sb 3.34, 4 Bi 3.57-3.72
2 Sr 0.4741 0.0517 0.2405  2 Sb 3.34, 4 Bi 3.57-3.72
3 Ca 0.7871 0.4255 0.7013  1 Sb 3.04, 3 Bi 3.18-3.35
4 Ca 0.2129 0.5745 0.2987  1 Sb 3.04, 3 Bi 3.18-3.35
5 Bi 0.8693 0.2617 0.4092  3 Ca 3.18-3.35, 1 Bi 3.52
6 Bi 0.1307 0.7383 0.5908  3 Ca 3.18-3.35, 1 Bi 3.52
7 Sb 0.0000 0.0000 0.0000  2 Ca 3.04, 4 Sr 3.34

DOS at the Fermi energy, states/eV/atom: 0.686
Formation energy (no corrections), meV/atom: -786
SG: No. 12

***

Material: MgTiTl2Cd
Method: DFT, PBE-GGA
State: optimized geometry

a = 5.2920 Å, b = 5.2166 Å, c = 5.2920 Å
α = 90.00°, β = 90.00°, γ = 90.00°
Closest atoms and distances in Å follow each position.
Positions (direct):
1 Tl 0.0000 0.0000 0.5000  2 Mg 2.65
2 Tl 0.5000 0.0000 0.0000  2 Mg 2.65
3 Ti 0.0000 0.5000 0.0000  2 Mg 2.61
4 Mg 0.0000 0.0000 0.0000  2 Ti 2.61, 4 Tl 2.65
5 Cd 0.5000 0.5000 0.5000  8 Tl 3.72, 4 Ti 3.74

DOS at the Fermi energy, states/eV/atom: 1.189
SG: No. 123
DFT formation energy, eV/atom: 0.81

***

Material: Cs15Rb2Na2
Method: DFT, PBE-GGA
State: optimized geometry

a = 13.5402 Å, b = 13.5402 Å, c = 13.5402 Å
α = 69.08°, β = 69.08°, γ = 69.08°
Closest atoms and distances in Å follow each position.
Positions (direct):
1 Cs 0.0000 0.5000 0.0000  2 Na 5.41, 8 Cs 5.46-5.61, 2 Rb 5.76
2 Cs 0.0000 0.0000 0.5000  2 Na 5.41, 8 Cs 5.46-5.61, 2 Rb 5.76
3 Cs 0.5000 0.0000 0.0000  2 Na 5.41, 8 Cs 5.46-5.61, 2 Rb 5.76
4 Cs 0.2899 0.0000 0.7101  4 Cs 4.45-4.75, 2 Na 4.88
5 Cs 0.7101 0.2899 0.0000  4 Cs 4.45-4.75, 2 Na 4.88
6 Cs 0.0000 0.7101 0.2899  4 Cs 4.45-4.75, 2 Na 4.88
7 Cs 0.2899 0.7101 0.0000  4 Cs 4.45-4.75, 2 Na 4.88
8 Cs 0.0000 0.2899 0.7101  4 Cs 4.45-4.75, 2 Na 4.88
9 Cs 0.7101 0.0000 0.2899  4 Cs 4.45-4.75, 2 Na 4.88
10 Cs 0.4386 0.8028 0.4386  4 Cs 4.75-4.90
11 Cs 0.4386 0.4386 0.8028  4 Cs 4.75-4.90
12 Cs 0.8028 0.4386 0.4386  4 Cs 4.75-4.90
13 Cs 0.5614 0.1972 0.5614  4 Cs 4.75-4.90
14 Cs 0.5614 0.5614 0.1972  4 Cs 4.75-4.90
15 Cs 0.1972 0.5614 0.5614  4 Cs 4.75-4.90
16 Rb 0.7133 0.7133 0.7133  15 Cs 5.67-5.93
17 Rb 0.2867 0.2867 0.2867  15 Cs 5.67-5.93
18 Na 0.9345 0.9345 0.9345  1 Na 4.02
19 Na 0.0655 0.0655 0.0655  1 Na 4.02

DOS at the Fermi energy, states/eV/atom: 1.131
SG: No. 166
DFT formation energy, eV/atom: 0.08

***

Material: CdSi2BiTe
Method: DFT, PBE-GGA
State: optimized geometry

a = 5.4659 Å, b = 6.0125 Å, c = 5.4659 Å
α = 90.00°, β = 90.00°, γ = 90.00°
Closest atoms and distances in Å follow each position.
Positions (direct):
1 Si 0.0000 0.0000 0.5000  2 Bi 2.73
2 Si 0.5000 0.0000 0.0000  2 Bi 2.73
3 Te 0.0000 0.5000 0.0000  2 Bi 3.01
4 Bi 0.0000 0.0000 0.0000  4 Si 2.73, 2 Te 3.01
5 Cd 0.5000 0.5000 0.5000  4 Te 3.86, 8 Si 4.06

DOS at the Fermi energy, states/eV/atom: 1.114
Formation energy (no corrections), meV/atom: 1126
SG: No. 123